1.
The following is a GGA-PBE calculation of an optimized crystal structure of BiP, from Alexandria via LeMat-Bulk.

Output
* size of the total moment: 0.00 Bohr magnetons per cell
* relative energy among the computed polymorphs: 0.39 eV per formula unit
* ΔE_f: 0.26 eV per atom
* calculated volume: 31.4 Å³ per atom
* raw total energy: -4.38 eV per atom

Structure (CIF):
```
data_BiP
_symmetry_space_group_name_H-M 'A m m 2'
_symmetry_Int_Tables_number 38
_symmetry_space_group_name_Hall 'A 2 -2'
_cell_length_a 4.014
_cell_length_b 10.956
_cell_length_c 8.560
_cell_angle_alpha 90.00
_cell_angle_beta 90.00
_cell_angle_gamma 90.00
loop_
_atom_site_label
_atom_site_fract_x
_atom_site_fract_y
_atom_site_fract_z
_atom_site_occupancy
Bi1 0.000 0.000 0.000 1
Bi2 0.500 0.248 0.243 1
P1 0.000 0.236 0.452 1
P2 0.500 0.000 0.787 1
```

---

2.
The following is a GGA-PBE calculation of an optimized crystal structure of Tl2ZnIn, from Alexandria via LeMat-Bulk.

Output
* size of the total moment: 0.00 Bohr magnetons per cell
* ΔE_f: 0.15 eV per atom
* calculated volume: 27.1 Å³ per atom
* raw total energy: -2.04 eV per atom

Structure (CIF):
```
data_Tl2ZnIn
_symmetry_space_group_name_H-M 'P m m m'
_symmetry_Int_Tables_number 47
_symmetry_space_group_name_Hall '-P 2 2'
_cell_length_a 3.481
_cell_length_b 5.402
_cell_length_c 5.760
_cell_angle_alpha 90.00
_cell_angle_beta 90.00
_cell_angle_gamma 90.00
loop_
_atom_site_label
_atom_site_fract_x
_atom_site_fract_y
_atom_site_fract_z
_atom_site_occupancy
Tl1 0.000 0.000 0.000 1
Tl2 0.500 0.000 0.500 1
Zn1 0.000 0.500 0.500 1
In1 0.500 0.500 0.000 1
```

---

Q: Which of these has the lowest calculated volume?
A: Tl2ZnIn

---

Q: What is the formula in the second record?
A: Tl2ZnIn

---

Q: Which value of ΔE_f does entry 2 give?
A: 0.15 eV per atom

---

Q: What is the formula in the first record?
A: BiP